First-principles (PBE-GGA) data for a relaxed KCuTeSe3 crystal, as listed in Alexandria.

Output
Symmetry: P2_1/m (11)
Electronic total energy (eV/atom): -3.528
Formation energy without anion corrections (eV per atom): -0.396

Lattice parameters (Å, degrees): 4.1218 9.2686 9.3740 108.27 90.00 90.00
Sites, in units of the cell vectors:
Se: 0.7500 0.4637 0.1696
Se: 0.2500 0.1254 0.8605
Se: 0.7500 0.2083 0.5331
Te: 0.7500 0.3284 0.8447
Cu: 0.2500 0.0720 0.5727
K: 0.2500 0.1984 0.2464
Se: 0.7500 0.8746 0.1395
Te: 0.2500 0.6716 0.1553
Cu: 0.7500 0.9280 0.4273
Se: 0.2500 0.7917 0.4669
K: 0.7500 0.8016 0.7536
Se: 0.2500 0.5363 0.8304